Arrangement one

The following is a PBE with a Hubbard U calculation of an optimized crystal structure of NiHgI2O, from the Alexandria database.

Summary:
The space group is P4/mmm (123). The density of states at the Fermi level is 0.8595 states/eV per atom.

Cell lengths 6.0237, 6.0237, 3.5347 Å; angles 90.00, 90.00, 90.00 degrees
With the nearest neighbours (Å) after each atom.
Fractional coordinates of all 5 atoms:
Ni1 0.0000 0.0000 0.0000  2 O 1.77
Hg1 0.5000 0.5000 0.5000  8 I 3.49, 2 Hg 3.53
I1 0.0000 0.5000 0.0000  2 Ni 3.01
I2 0.5000 0.0000 0.0000  2 Ni 3.01
O1 0.0000 0.0000 0.5000  2 Ni 1.77

---

Arrangement two

The following is a PBE with a Hubbard U calculation of an optimized crystal structure of NiHgI2O, from the Alexandria database.

Summary:
The space group is P4/mmm (123). The density of states at the Fermi level is 1.1141 states/eV per atom.

Cell lengths 5.9609, 5.9609, 4.0931 Å; angles 90.00, 90.00, 90.00 degrees
With the nearest neighbours (Å) after each atom.
Fractional coordinates of all 5 atoms:
Ni1 0.0000 0.0000 0.0000  8 I 3.62
Hg1 0.5000 0.5000 0.5000  2 O 2.05
I1 0.0000 0.5000 0.5000  2 Hg 2.98
I2 0.5000 0.0000 0.5000  2 Hg 2.98
O1 0.5000 0.5000 0.0000  2 Hg 2.05

---

Name the most stable of them. arrangement one.

---

Arrangement one

The following is a PBE with a Hubbard U calculation of an optimized crystal structure of NiHgIO2, from the Alexandria database.

Summary:
The space group is P4/mmm (123). The density of states at the Fermi level is 0.9402 states/eV per atom.

Cell lengths 4.0395, 4.0395, 5.8971 Å; angles 90.00, 90.00, 90.00 degrees
With the nearest neighbours (Å) after each atom.
Fractional coordinates of all 5 atoms:
Ni1 0.0000 0.0000 0.0000  4 O 2.02
Hg1 0.5000 0.5000 0.5000  4 I 2.86
I1 0.0000 0.0000 0.5000  4 Hg 2.86, 2 Ni 2.95
O1 0.0000 0.5000 0.0000  2 Ni 2.02
O2 0.5000 0.0000 0.0000  2 Ni 2.02

---

Arrangement two

The following is a PBE with a Hubbard U calculation of an optimized crystal structure of NiHgIO2, from the Alexandria database.

Summary:
The space group is P4/mmm (123). The density of states at the Fermi level is 1.0875 states/eV per atom.

Cell lengths 4.0975, 4.0975, 7.1597 Å; angles 90.00, 90.00, 90.00 degrees
With the nearest neighbours (Å) after each atom.
Fractional coordinates of all 5 atoms:
Ni1 0.0000 0.0000 0.0000  4 I 2.90
Hg1 0.5000 0.5000 0.5000  4 O 2.05
I1 0.5000 0.5000 0.0000  4 Ni 2.90
O1 0.0000 0.5000 0.5000  2 Hg 2.05
O2 0.5000 0.0000 0.5000  2 Hg 2.05

---

Name the most stable of them. arrangement one.